# 1
Crystalline Rb2TlTeW at its relaxed geometry. Source: Alexandria, functional PBE-GGA.

```
data_Rb2TlTeW
_chemical_formula_sum 'Rb2 Tl1 Te1 W1'
_cell_length_a 6.598
_cell_length_b 6.598
_cell_length_c 5.426
_cell_angle_alpha 90.00
_cell_angle_beta 90.00
_cell_angle_gamma 90.00
_space_group_name_H-M_alt 'P 4/m m m'
_space_group_IT_number 123
_space_group_name_Hall '-P 4 2'
loop_
_atom_site_label
_atom_site_type_symbol
_atom_site_fract_x
_atom_site_fract_y
_atom_site_fract_z
Rb1 Rb 0.000 0.500 0.000
Tl1 Tl 0.000 0.000 0.000
Te1 Te 0.500 0.500 0.500
W1 W 0.000 0.000 0.500
```

Output
formation energy from raw total energies: 1.039 eV per atom
final energy: -0.223 Ry per atom
density: 4828 kg/m³
D(E_F): 7.171 states/eV/cell


# 2
Crystalline RbTl2TeW at its relaxed geometry. Source: Alexandria, functional PBE-GGA.

```
data_RbTl2TeW
_chemical_formula_sum 'Rb1 Tl2 Te1 W1'
_cell_length_a 5.561
_cell_length_b 5.561
_cell_length_c 5.309
_cell_angle_alpha 90.00
_cell_angle_beta 90.00
_cell_angle_gamma 90.00
_space_group_name_H-M_alt 'P 4/m m m'
_space_group_IT_number 123
_space_group_name_Hall '-P 4 2'
loop_
_atom_site_label
_atom_site_type_symbol
_atom_site_fract_x
_atom_site_fract_y
_atom_site_fract_z
Rb1 Rb 0.000 0.000 0.000
Tl1 Tl 0.000 0.500 0.500
Te1 Te 0.500 0.500 0.000
W1 W 0.500 0.500 0.500
```

Output
formation energy from raw total energies: 0.226 eV per atom
final energy: -0.304 Ry per atom
density: 8149 kg/m³
D(E_F): 1.886 states/eV/cell


# 3
Crystalline RbTlZnTe2 at its relaxed geometry. Source: Alexandria, functional PBE-GGA.

```
data_RbTlZnTe2
_chemical_formula_sum 'Rb2 Tl2 Zn2 Te4'
_cell_length_a 8.148
_cell_length_b 5.760
_cell_length_c 8.978
_cell_angle_alpha 90.00
_cell_angle_beta 91.93
_cell_angle_gamma 90.00
_space_group_name_H-M_alt 'P 1 2/c 1'
_space_group_IT_number 13
_space_group_name_Hall '-P 2yc'
loop_
_atom_site_label
_atom_site_type_symbol
_atom_site_fract_x
_atom_site_fract_y
_atom_site_fract_z
Rb1 Rb 0.000 0.244 0.250
Tl1 Tl 0.500 0.089 0.250
Zn1 Zn 0.500 0.500 0.000
Te1 Te 0.258 0.275 0.907
```

Output
formation energy from raw total energies: -0.507 eV per atom
final energy: -0.197 Ry per atom
density: 4814 kg/m³
D(E_F): 0.000 states/eV/cell
relative energy among the computed polymorphs: 0 meV per atom


# 4
Crystalline RbTlZnTe2 at its relaxed geometry. Source: Alexandria, functional PBE-GGA.

```
data_RbTlZnTe2
_chemical_formula_sum 'Rb1 Tl1 Zn1 Te2'
_cell_length_a 5.876
_cell_length_b 5.876
_cell_length_c 6.930
_cell_angle_alpha 90.00
_cell_angle_beta 90.00
_cell_angle_gamma 90.00
_space_group_name_H-M_alt 'P 4/m m m'
_space_group_IT_number 123
_space_group_name_Hall '-P 4 2'
loop_
_atom_site_label
_atom_site_type_symbol
_atom_site_fract_x
_atom_site_fract_y
_atom_site_fract_z
Rb1 Rb 0.000 0.000 0.000
Tl1 Tl 0.000 0.000 0.500
Zn1 Zn 0.500 0.500 0.000
Te1 Te 0.000 0.500 0.500
```

Output
formation energy from raw total energies: 0.139 eV per atom
final energy: -0.150 Ry per atom
density: 4236 kg/m³
D(E_F): 2.067 states/eV/cell
relative energy among the computed polymorphs: 645 meV per atom


# 5
Crystalline Rb2TmTe6 at its relaxed geometry. Source: Alexandria, functional PBE-GGA.

```
data_Rb2TmTe6
_chemical_formula_sum 'Rb4 Tm2 Te12'
_cell_length_a 19.768
_cell_length_b 6.315
_cell_length_c 6.134
_cell_angle_alpha 90.00
_cell_angle_beta 100.55
_cell_angle_gamma 90.00
_space_group_name_H-M_alt 'C 1 2/m 1'
_space_group_IT_number 12
_space_group_name_Hall '-C 2y'
loop_
_atom_site_label
_atom_site_type_symbol
_atom_site_fract_x
_atom_site_fract_y
_atom_site_fract_z
Rb1 Rb 0.187 0.000 0.210
Tm1 Tm 0.000 0.500 0.500
Te1 Te 0.000 0.277 0.000
Te2 Te 0.131 0.260 0.677
```

Output
formation energy from raw total energies: -0.651 eV per atom
final energy: -0.254 Ry per atom
density: 4877 kg/m³
D(E_F): 10.281 states/eV/cell


# 6
Crystalline RbTm2Te3 at its relaxed geometry. Source: Alexandria, functional PBE-GGA.

```
data_RbTm2Te3
_chemical_formula_sum 'Rb4 Tm8 Te12'
_cell_length_a 4.578
_cell_length_b 16.994
_cell_length_c 11.781
_cell_angle_alpha 90.00
_cell_angle_beta 90.00
_cell_angle_gamma 90.00
_space_group_name_H-M_alt 'C m c m'
_space_group_IT_number 63
_space_group_name_Hall '-C 2c 2'
loop_
_atom_site_label
_atom_site_type_symbol
_atom_site_fract_x
_atom_site_fract_y
_atom_site_fract_z
Rb1 Rb 0.000 0.243 0.250
Tm1 Tm 0.000 0.038 0.750
Tm2 Tm 0.000 0.500 0.000
Te1 Te 0.000 0.125 0.541
Te2 Te 0.000 0.432 0.750
```

Output
formation energy from raw total energies: -1.172 eV per atom
final energy: -0.323 Ry per atom
density: 5842 kg/m³
D(E_F): 14.051 states/eV/cell


# 7
Crystalline RbTm4Te6 at its relaxed geometry. Source: Alexandria, functional PBE-GGA.

```
data_RbTm4Te6
_chemical_formula_sum 'Rb4 Tm16 Te24'
_cell_length_a 4.400
_cell_length_b 14.500
_cell_length_c 23.099
_cell_angle_alpha 90.00
_cell_angle_beta 90.00
_cell_angle_gamma 90.00
_space_group_name_H-M_alt 'C m c m'
_space_group_IT_number 63
_space_group_name_Hall '-C 2c 2'
loop_
_atom_site_label
_atom_site_type_symbol
_atom_site_fract_x
_atom_site_fract_y
_atom_site_fract_z
Rb1 Rb 0.000 0.160 0.250
Tm1 Tm 0.000 0.093 0.630
Tm2 Tm 0.000 0.365 0.539
Te1 Te 0.000 0.000 0.000
Te2 Te 0.000 0.148 0.750
Te3 Te 0.000 0.270 0.082
Te4 Te 0.000 0.459 0.652
```

Output
formation energy from raw total energies: -1.282 eV per atom
final energy: -0.346 Ry per atom
density: 6881 kg/m³
D(E_F): 9.670 states/eV/cell


# 8
Crystalline RbTmTe at its relaxed geometry. Source: Alexandria, functional PBE-GGA.

```
data_RbTmTe
_chemical_formula_sum 'Rb2 Tm2 Te2'
_cell_length_a 4.699
_cell_length_b 4.699
_cell_length_c 12.014
_cell_angle_alpha 90.00
_cell_angle_beta 90.00
_cell_angle_gamma 90.00
_space_group_name_H-M_alt 'P 4/n m m'
_space_group_IT_number 129
loop_
_space_group_symop_operation_xyz
'x,y,z'
'-x,-y,-z'
'-y+1/2,x,z'
'y+1/2,-x,-z'
'-x+1/2,-y+1/2,z'
'x+1/2,y+1/2,-z'
'y,-x+1/2,z'
'-y,x+1/2,-z'
'x+1/2,-y,-z'
'-x+1/2,y,z'
'-y,-x,-z'
'y,x,z'
'-x,y+1/2,-z'
'x,-y+1/2,z'
'y+1/2,x+1/2,-z'
'-y+1/2,-x+1/2,z'
loop_
_atom_site_label
_atom_site_type_symbol
_atom_site_fract_x
_atom_site_fract_y
_atom_site_fract_z
Rb1 Rb 0.250 0.250 0.185
Tm1 Tm 0.250 0.750 0.500
Te1 Te 0.250 0.250 0.673
```

Output
formation energy from raw total energies: -0.687 eV per atom
final energy: -0.261 Ry per atom
density: 4781 kg/m³
D(E_F): 3.786 states/eV/cell